No. 1
# MnCdP2, single point on PBEsol structure, DFT meta-GGA SCAN
# - calculated density (Mg/m³) = 5.96
# - crystal system = cubic
# - total moment (Bohr magnetons per cell) = 16.15
# - E_form (eV per formula unit) = 2.01
# - uncorrected energy (eV per atom) = -16.864
data_MnCdP2
_chemical_formula_sum 'Mn4 Cd4 P8'
_cell_length_a 6.346
_cell_length_b 6.346
_cell_length_c 6.346
_cell_angle_alpha 90.00
_cell_angle_beta 90.00
_cell_angle_gamma 90.00
_symmetry_space_group_name_H-M 'F -4 3 m'
_symmetry_Int_Tables_number 216
_symmetry_space_group_name_Hall 'F -4 2 3'
loop_
_atom_site_label
_atom_site_fract_x
_atom_site_fract_y
_atom_site_fract_z
_atom_site_occupancy
Mn1 0.000 0.000 0.000 1
Cd1 0.250 0.250 0.250 1
P1 0.000 0.000 0.500 1
P2 0.250 0.250 0.750 1



No. 2
# YRu2Cl, single point on PBEsol structure, DFT meta-GGA SCAN
# - calculated density (Mg/m³) = 7.82
# - crystal system = monoclinic
# - total moment (Bohr magnetons per cell) = 0.00
# - uncorrected energy (eV per atom) = -26.394
# - formation energy without anion corrections (eV per atom) = -0.03
data_YRu2Cl
_chemical_formula_sum 'Y1 Ru2 Cl1'
_cell_length_a 3.098
_cell_length_b 5.213
_cell_length_c 4.293
_cell_angle_alpha 90.00
_cell_angle_beta 90.53
_cell_angle_gamma 90.00
_symmetry_space_group_name_H-M 'P 1 2/m 1'
_symmetry_Int_Tables_number 10
_symmetry_space_group_name_Hall '-P 2y'
loop_
_atom_site_label
_atom_site_fract_x
_atom_site_fract_y
_atom_site_fract_z
_atom_site_occupancy
Y1 0.000 0.000 0.000 1
Ru1 0.325 0.500 0.249 1
Cl1 0.500 0.000 0.500 1



No. 3
# Mg2ZrCd, single point on PBEsol structure, DFT meta-GGA SCAN
# - calculated density (Mg/m³) = 4.97
# - crystal system = orthorhombic
# - total moment (Bohr magnetons per cell) = 0.02
# - E_form (eV per formula unit) = -0.24
# - uncorrected energy (eV per atom) = -17.826
data_Mg2ZrCd
_chemical_formula_sum 'Mg2 Zr1 Cd1'
_cell_length_a 2.981
_cell_length_b 4.470
_cell_length_c 6.322
_cell_angle_alpha 90.00
_cell_angle_beta 90.00
_cell_angle_gamma 90.00
_symmetry_space_group_name_H-M 'P m m 2'
_symmetry_Int_Tables_number 25
_symmetry_space_group_name_Hall 'P 2 -2'
loop_
_atom_site_label
_atom_site_fract_x
_atom_site_fract_y
_atom_site_fract_z
_atom_site_occupancy
Mg1 0.000 0.000 0.000 1
Mg2 0.500 0.500 0.249 1
Zr1 0.000 0.000 0.506 1
Cd1 0.500 0.500 0.747 1



No. 4
# TaTiI2O, single point on PBEsol structure, DFT meta-GGA SCAN
# - calculated density (Mg/m³) = 6.89
# - crystal system = tetragonal
# - total moment (Bohr magnetons per cell) = 4.32
# - uncorrected energy (eV per atom) = -32.785
# - formation energy without anion corrections (eV per atom) = -0.32
data_TaTiI2O
_chemical_formula_sum 'Ta1 Ti1 I2 O1'
_cell_length_a 5.608
_cell_length_b 5.608
_cell_length_c 3.821
_cell_angle_alpha 90.00
_cell_angle_beta 90.00
_cell_angle_gamma 90.00
_symmetry_space_group_name_H-M 'P 4/m m m'
_symmetry_Int_Tables_number 123
_symmetry_space_group_name_Hall '-P 4 2'
loop_
_atom_site_label
_atom_site_fract_x
_atom_site_fract_y
_atom_site_fract_z
_atom_site_occupancy
Ta1 0.000 0.000 0.000 1
Ti1 0.500 0.500 0.500 1
I1 0.000 0.500 0.000 1
O1 0.000 0.000 0.500 1



No. 5
# Y2CoRu, single point on PBEsol structure, DFT meta-GGA SCAN
# - calculated density (Mg/m³) = 7.92
# - crystal system = cubic
# - total moment (Bohr magnetons per cell) = 7.63
# - E_form (eV per formula unit) = 0.65
# - uncorrected energy (eV per atom) = -26.791
data_Y2CoRu
_chemical_formula_sum 'Y8 Co4 Ru4'
_cell_length_a 6.567
_cell_length_b 6.567
_cell_length_c 6.567
_cell_angle_alpha 90.00
_cell_angle_beta 90.00
_cell_angle_gamma 90.00
_symmetry_space_group_name_H-M 'F -4 3 m'
_symmetry_Int_Tables_number 216
_symmetry_space_group_name_Hall 'F -4 2 3'
loop_
_atom_site_label
_atom_site_fract_x
_atom_site_fract_y
_atom_site_fract_z
_atom_site_occupancy
Y1 0.000 0.000 0.000 1
Y2 0.250 0.250 0.250 1
Co1 0.250 0.250 0.750 1
Ru1 0.000 0.000 0.500 1



No. 6
# CsGeP2O, single point on PBEsol structure, DFT meta-GGA SCAN
# - calculated density (Mg/m³) = 3.93
# - crystal system = tetragonal
# - total moment (Bohr magnetons per cell) = 0.85
# - uncorrected energy (eV per atom) = -15.129
# - formation energy without anion corrections (eV per atom) = 1.66
data_CsGeP2O
_chemical_formula_sum 'Cs1 Ge1 P2 O1'
_cell_length_a 5.324
_cell_length_b 5.324
_cell_length_c 4.221
_cell_angle_alpha 90.00
_cell_angle_beta 90.00
_cell_angle_gamma 90.00
_symmetry_space_group_name_H-M 'P 4/m m m'
_symmetry_Int_Tables_number 123
_symmetry_space_group_name_Hall '-P 4 2'
loop_
_atom_site_label
_atom_site_fract_x
_atom_site_fract_y
_atom_site_fract_z
_atom_site_occupancy
Cs1 0.000 0.000 0.000 1
Ge1 0.500 0.500 0.500 1
P1 0.000 0.500 0.000 1
O1 0.000 0.000 0.500 1



No. 7
# Be4ReTc, single point on PBEsol structure, DFT meta-GGA SCAN
# - calculated density (Mg/m³) = 9.24
# - crystal system = cubic
# - total moment (Bohr magnetons per cell) = 0.00
# - E_form (eV per formula unit) = -2.58
# - uncorrected energy (eV per atom) = -21.025
data_Be4ReTc
_chemical_formula_sum 'Be16 Re4 Tc4'
_cell_length_a 6.128
_cell_length_b 6.128
_cell_length_c 6.128
_cell_angle_alpha 90.00
_cell_angle_beta 90.00
_cell_angle_gamma 90.00
_symmetry_space_group_name_H-M 'F -4 3 m'
_symmetry_Int_Tables_number 216
_symmetry_space_group_name_Hall 'F -4 2 3'
loop_
_atom_site_label
_atom_site_fract_x
_atom_site_fract_y
_atom_site_fract_z
_atom_site_occupancy
Be1 0.124 0.124 0.376 1
Re1 0.250 0.250 0.750 1
Tc1 0.000 0.000 0.000 1



No. 8
# Na2MnCoRe, single point on PBEsol structure, DFT meta-GGA SCAN
# - calculated density (Mg/m³) = 5.77
# - crystal system = tetragonal
# - total moment (Bohr magnetons per cell) = 9.13
# - E_form (eV per formula unit) = 10.06
# - uncorrected energy (eV per atom) = -21.005
data_Na2MnCoRe
_chemical_formula_sum 'Na2 Mn1 Co1 Re1'
_cell_length_a 4.921
_cell_length_b 4.921
_cell_length_c 4.110
_cell_angle_alpha 90.00
_cell_angle_beta 90.00
_cell_angle_gamma 90.00
_symmetry_space_group_name_H-M 'P 4/m m m'
_symmetry_Int_Tables_number 123
_symmetry_space_group_name_Hall '-P 4 2'
loop_
_atom_site_label
_atom_site_fract_x
_atom_site_fract_y
_atom_site_fract_z
_atom_site_occupancy
Na1 0.000 0.500 0.000 1
Mn1 0.000 0.000 0.000 1
Co1 0.000 0.000 0.500 1
Re1 0.500 0.500 0.500 1